Material: LiTa2Sb
Method: DFT, GGA-PBE
State: optimized geometry

Computed properties:
For the uncorrected energy, the calculation gives -7.19 eV per atom. The calculated density comes out at 10.971 Mg/m³. The raw formation energy comes out at 0.247 eV/atom. The value obtained for the size of the total moment is 0.00 μB per atom.

a b c (Å): 5.689 9.769 2.935
angles (deg): 90.00 114.44 90.00
Space group C2/m (No. 12)
Unique sites:
Li (0.000, 0.000, 0.000) [2 per cell]
Ta (0.250, 0.250, 0.500) [4 per cell]
Sb (0.000, 0.500, 0.000) [2 per cell]

Material: Pr6ErIn
Method: DFT, GGA-PBE
State: optimized geometry

Computed properties:
For the uncorrected energy, the calculation gives -4.62 eV per atom. For the formation energy, the calculation gives -0.122 eV per atom. The calculated density comes out at 7.026 Mg/m³. The value obtained for the size of the total moment is 0.00 μB per atom.

a b c (Å): 5.069 5.069 10.371
angles (deg): 90.00 90.00 90.00
Space group P4/mmm (No. 123)
Unique sites:
Pr (0.000, 0.000, 0.000) [1 per cell]
Pr (0.000, 0.000, 0.500) [1 per cell]
Pr (0.000, 0.500, 0.244) [4 per cell]
Er (0.500, 0.500, 0.500) [1 per cell]
In (0.500, 0.500, 0.000) [1 per cell]

Material: YMg2Cr
Method: DFT, GGA-PBE
State: optimized geometry

Computed properties:
For the uncorrected energy, the calculation gives -4.42 eV per atom. For the formation energy, the calculation gives 0.398 eV per atom. The calculated density comes out at 3.274 Mg/m³. The value obtained for the size of the total moment is 0.98 μB per atom.

a b c (Å): 3.3234 3.3234 30.1463
angles (deg): 90.00 90.00 120.00
Space group R3m (No. 160, hexagonal axes)
Unique sites:
Y (0.0000, 0.0000, 0.0000) [3 per cell]
Mg (0.0000, 0.0000, 0.2411) [3 per cell]
Mg (0.0000, 0.0000, 0.4886) [3 per cell]
Cr (0.0000, 0.0000, 0.7474) [3 per cell]